Computed, not measured: crystalline NbV12Mo6 at its relaxed geometry at the PBE level of DFT.

```
NbV12Mo6
1.0
5.100 0.000 0.000
-0.638 7.081 0.000
-1.635 -2.695 7.727
Nb V Mo
1 12 6
Cartesian
0.000 0.000 0.000
-0.616 -0.058 2.904
-0.923 2.379 6.448
0.003 2.681 3.436
1.027 3.045 0.463
0.398 5.168 4.346
0.739 -1.600 6.937
2.087 5.986 0.790
2.427 -0.782 3.381
1.799 1.341 7.264
2.823 1.705 4.292
3.748 2.007 1.280
3.442 4.444 4.823
-0.273 4.891 1.706
0.400 0.546 5.193
1.480 1.031 2.016
1.346 3.355 5.711
2.425 3.840 2.534
3.098 -0.505 6.021
```

Values from the calculation:
Volume (Å³/cell): 279
Energy (eV/atom): -9.61